TiAlTe4 after structural relaxation, computed with PBE.

Cell and atoms, written as POSCAR:
```
TiAlTe4
1.0
-3.0388 0.5387 2.0825
0.9299 -6.0112 2.9119
3.8500 5.2674 4.2554
Te Ti Al
4 1 1
Direct
0.5000 0.7442 0.7280
0.5000 0.2558 0.2720
0.0000 0.2377 0.7349
0.0000 0.7623 0.2651
0.5000 0.0000 0.5000
0.0000 0.5000 0.5000
```

## Properties
- polymorph energy (0 for the lowest one) (eV per atom) = 0.005
- uncorrected formation energy (eV per atom) = -0.4361

Pu2MgGe4Ir3 after structural relaxation, computed with PBE.

Cell and atoms, written as POSCAR:
```
Pu2MgGe4Ir3
1.0
4.2249 0.0000 0.0000
0.0000 4.2249 0.0000
0.0000 0.0000 10.5875
Ge Pu Mg Ir
4 2 1 3
Direct
0.5000 0.0000 0.6446
0.0000 0.5000 0.3554
0.0000 0.0000 0.0000
0.5000 0.5000 0.0000
0.5000 0.0000 0.2381
0.0000 0.5000 0.7619
0.5000 0.5000 0.5000
0.5000 0.0000 0.8750
0.0000 0.5000 0.1250
0.0000 0.0000 0.5000
```

## Properties
- calculated formation energy (eV/atom) = -0.485

Tl4Bi3Au after structural relaxation, computed with PBE.

Cell and atoms, written as POSCAR:
```
Tl4Bi3Au
1.0
3.6026 0.0088 -0.3638
-0.0920 4.7139 -0.7979
0.0540 0.0515 14.6273
Au Bi Tl
1 3 4
Direct
0.0000 0.5000 0.0000
0.8349 0.8406 0.6812
0.5000 0.0000 0.0000
0.1651 0.1594 0.3188
0.7197 0.7168 0.4335
0.4006 0.4073 0.8146
0.2803 0.2832 0.5665
0.5994 0.5927 0.1854
```

## Properties
- calculated formation energy (eV/atom) = 0.039

Pm2Pr6Tm after structural relaxation, computed with PBE.

Cell and atoms, written as POSCAR:
```
Pm2Pr6Tm
1.0
-2.2602 -2.4542 -1.5761
6.5242 -7.4983 2.3187
-0.2752 -5.3330 8.6976
Pm Pr Tm
2 6 1
Direct
0.5000 0.8261 0.8261
0.5000 0.1739 0.1739
0.0000 0.5099 0.1608
0.0000 0.1608 0.5099
0.5000 0.6858 0.3142
0.0000 0.4901 0.8392
0.0000 0.8392 0.4901
0.5000 0.3142 0.6858
0.0000 0.0000 0.0000
```

## Properties
- polymorph energy (0 for the lowest one) (eV per atom) = 0.050
- calculated formation energy (eV/atom) = 0.128

Number 1: E_tot -4.47 eV per atom, DOS at the Fermi energy 2.77 states/eV/cell. Number 2: E_tot -8.02 eV per atom, DOS at the Fermi energy 27.70 states/eV/cell. Number 3: E_tot -3.01 eV per atom, DOS at the Fermi energy 3.83 states/eV/cell. Number 4: E_tot -4.61 eV per atom, DOS at the Fermi energy 12.63 states/eV/cell.